Record 1
Entry from Alexandria: crystalline Sn2SbPtN at its relaxed geometry (PBE).

Cell: 5.748 4.861 5.748 Å, 90.00 90.00 90.00°
Sites, in units of the cell vectors:
N 0.500 0.500 0.500
Sb 0.000 0.000 0.000
Sn 0.000 0.000 0.500
Sn 0.500 0.000 0.000
Pt 0.000 0.500 0.000

The uncorrected formation energy comes out at 1.741 eV per atom. The calculation puts the total energy at -3.558 eV per atom.

Record 2
Entry from Alexandria: crystalline Pm3NdHg4 at its relaxed geometry (PBE).

Cell: 5.376 7.705 10.754 Å, 90.00 90.00 90.00°
Last column: magnetic moment on the atom in μB.
Sites, in units of the cell vectors:
Nd 0.000 0.500 0.500  0.22
Nd 0.000 0.500 0.000  0.22
Hg 0.001 0.248 0.250  0.02
Hg 0.999 0.248 0.750  0.02
Hg 0.500 0.248 0.500  0.02
Hg 0.001 0.752 0.250  0.02
Hg 0.500 0.752 0.000  0.02
Hg 0.500 0.248 0.000  0.02
Hg 0.500 0.752 0.500  0.02
Hg 0.999 0.752 0.750  0.02
Pm 0.500 0.500 0.250  0.23
Pm 0.500 0.500 0.750  0.23
Pm 0.501 0.000 0.250  0.22
Pm 0.000 0.000 0.500  0.22
Pm 0.499 0.000 0.750  0.22
Pm 0.000 0.000 0.000  0.22

The calculation puts the total energy at -3.004 eV per atom. As for the formation energy: -0.48 eV per atom.

Record 3
Entry from Alexandria: crystalline AcLaCu2Si2 at its relaxed geometry (PBE).

Cell: 4.292 4.292 8.433 Å, 90.00 90.00 120.00°
Sites, in units of the cell vectors:
Si 0.667 0.333 0.740
Si 0.333 0.667 0.260
Ac 0.000 0.000 0.000
La 0.000 0.000 0.500
Cu 0.333 0.667 0.739
Cu 0.667 0.333 0.261

The uncorrected formation energy comes out at -0.576 eV per atom. The calculation puts the total energy at -5.255 eV per atom.

Record 4
Entry from Alexandria: crystalline Sm2Os3Ru at its relaxed geometry (PBE).

Cell: 5.330 5.330 5.491 Å, 89.90 119.13 120.02°
Sites, in units of the cell vectors:
Sm 0.248 0.624 0.873
Sm 0.752 0.376 0.127
Ru 0.000 0.000 0.000
Os 0.500 0.500 0.500
Os 0.000 0.000 0.500
Os 0.500 0.000 0.500

The calculation puts the total energy at -8.907 eV per atom. As for the formation energy: -0.17 eV per atom.

Record 5
Entry from Alexandria: crystalline LiGa4 at its relaxed geometry (PBE).

Cell: 4.124 5.645 8.326 Å, 109.82 104.34 90.00°
Sites, in units of the cell vectors:
Li 0.902 0.152 0.804
Li 0.098 0.848 0.196
Ga 0.101 0.351 0.202
Ga 0.693 0.190 0.385
Ga 0.307 0.810 0.615
Ga 0.693 0.695 0.385
Ga 0.307 0.305 0.615
Ga 0.500 0.000 0.000
Ga 0.899 0.649 0.798
Ga 0.500 0.500 0.000

As for the energy above the most stable polymorph in this dataset: 0.0 meV per atom. The calculation puts the total energy at -2.935 eV per atom. As for the formation energy: -0.13 eV per atom.

Record 6
Entry from Alexandria: crystalline Ca2PmIrO8 at its relaxed geometry (PBE).

Cell: 4.966 4.990 6.909 Å, 90.00 90.00 90.68°
Last column: magnetic moment on the atom in μB.
Sites, in units of the cell vectors:
O 0.592 0.769 0.500  0.41
O 0.408 0.231 0.500  0.41
O 0.873 0.225 0.795  0.00
O 0.679 0.803 0.000  -0.02
O 0.873 0.225 0.205  0.00
O 0.321 0.197 0.000  -0.02
O 0.127 0.775 0.205  0.00
O 0.127 0.775 0.795  0.00
Ca 0.500 0.500 0.241  0.00
Ca 0.500 0.500 0.759  0.00
Pm 0.000 0.000 0.500  -0.01
Ir 0.000 0.000 0.000  -0.08

The uncorrected formation energy comes out at -1.761 eV per atom. The calculation puts the total energy at -6.534 eV per atom.

Record 7
Entry from Alexandria: crystalline VAsAuS2 at its relaxed geometry (PBE).

Cell: 4.798 4.808 4.798 Å, 90.00 90.00 90.00°
Last column: magnetic moment on the atom in μB.
Sites, in units of the cell vectors:
S 0.000 0.000 0.500  0.06
S 0.500 0.000 0.000  0.07
Au 0.000 0.500 0.000  -0.01
As 0.000 0.000 0.000  0.01
V 0.500 0.500 0.500  -0.17

The uncorrected formation energy comes out at 0.922 eV per atom. The calculation puts the total energy at -4.138 eV per atom.

Record 8
Entry from Alexandria: crystalline Th2Al4NiAu3 at its relaxed geometry (PBE).

Cell: 4.367 4.367 10.377 Å, 90.00 90.00 90.00°
Sites, in units of the cell vectors:
Al 0.000 0.500 0.378
Al 0.000 0.000 0.000
Al 0.500 0.000 0.622
Al 0.500 0.500 0.000
Au 0.000 0.000 0.500
Au 0.500 0.000 0.866
Au 0.000 0.500 0.134
Ni 0.500 0.500 0.500
Th 0.000 0.500 0.736
Th 0.500 0.000 0.264

The calculation puts the total energy at -5.206 eV per atom. As for the formation energy: -0.66 eV per atom.